[1]
## K2SrHfHg (PBE-GGA)

Data for a relaxed K2SrHfHg crystal.

a b c (Å): 6.3796 6.3796 5.5803
angles (deg): 90.00 90.00 90.00
Last column: nearest neighbours and their distance in Å.
Element x y z (fractional)
Hf  0.0000  0.0000  0.5000  2 Hg 2.79
Hg  0.0000  0.0000  0.0000  2 Hf 2.79
Sr  0.5000  0.5000  0.5000  8 K 4.24, 4 Hf 4.51
K  0.0000  0.5000  0.0000  2 Hg 3.19
K  0.5000  0.0000  0.0000  2 Hg 3.19

Output
The calculation puts the total magnetization at 1.0 μB per cell. The value obtained for the energy of formation from the pure elements is 0.62 eV/atom. The value obtained for the total energy is -2.211 eV per atom.

[2]
## K2SrHfHg (PBE-GGA)

Data for a relaxed K2SrHfHg crystal.

a b c (Å): 7.0108 5.8406 7.0108
angles (deg): 90.00 90.00 90.00
Last column: nearest neighbours and their distance in Å.
Element x y z (fractional)
Sr  0.0000  0.0000  0.0000  2 Hf 2.92
K  0.5000  0.0000  0.0000  2 Sr 3.51
K  0.0000  0.0000  0.5000  2 Sr 3.51
Hf  0.0000  0.5000  0.0000  2 Sr 2.92
Hg  0.5000  0.5000  0.5000  8 K 4.56, 4 Hf 4.96

Output
The calculation puts the total magnetization at 0.0 μB per cell. The value obtained for the energy of formation from the pure elements is 1.28 eV/atom. The value obtained for the total energy is -1.543 eV per atom.